# 1
The following is a PBE calculation of a relaxed structure of Li2AgAu8, from Alexandria.

Summary:
volume	384.6	Å³/cell
N(E_F)	0.308	states/eV per atom
energy above the lowest structure with this stoichiometry	0.034	eV per atom
ΔH_f (0 K)	-19.4	kJ per mole of atoms
M_tot	0.00	μB/f.u.

Unit cell a=4.2866 b=7.0615 c=12.7074 alpha=90.00 beta=90.00 gamma=90.00
Space group Immm (No. 71)
Inequivalent atoms, fractional coordinates:
Li: 0.0000 0.0000 0.1987
Ag: 0.0000 0.0000 0.5000
Au: 0.0000 0.1988 0.0000
Au: 0.0000 0.2895 0.3456
Au: 0.0000 0.5000 0.1570

---

# 2
The following is a PBE calculation of a relaxed structure of Tb2PuGa, from Alexandria.

Summary:
volume	106.0	Å³/cell
N(E_F)	1.995	states/eV per atom
energy above the lowest structure with this stoichiometry	0.000	eV per atom
ΔH_f (0 K)	-18.8	kJ per mole of atoms
M_tot	6.29	μB/f.u.

Unit cell a=3.4949 b=3.4949 c=8.6794 alpha=90.00 beta=90.00 gamma=90.00
Space group P4/mmm (No. 123)
Inequivalent atoms, fractional coordinates:
Tb: 0.0000 0.0000 0.2146
Pu: 0.5000 0.5000 0.5000
Ga: 0.5000 0.5000 0.0000

---

# 3
The following is a PBE calculation of a relaxed structure of ZnTcSe2, from Alexandria.

Summary:
volume	154.3	Å³/cell
N(E_F)	0.891	states/eV per atom
raw formation energy	309	meV per atom
energy above the lowest structure with this stoichiometry	0.589	eV per atom
M_tot	0.07	μB/f.u.

Unit cell a=3.0444 b=4.9809 c=10.1763 alpha=90.00 beta=90.00 gamma=90.00
Space group Cmmm (No. 65)
Inequivalent atoms, fractional coordinates:
Zn: 0.0000 0.0000 0.0000
Tc: 0.0000 0.0000 0.5000
Se: 0.0000 0.5000 0.2980

---

# 4
The following is a PBE calculation of a relaxed structure of Pm2ZnSb3Rh4, from Alexandria.

Summary:
volume	206.4	Å³/cell
N(E_F)	0.552	states/eV per atom
raw formation energy	-783	meV per atom
M_tot	0.00	μB/f.u.

Unit cell a=4.3799 b=4.3799 c=10.7594 alpha=90.00 beta=90.00 gamma=90.00
Space group P-4m2 (No. 115)
Inequivalent atoms, fractional coordinates:
Pm: 0.0000 0.5000 0.2431
Zn: 0.5000 0.5000 0.0000
Sb: 0.0000 0.0000 0.0000
Sb: 0.0000 0.5000 0.6365
Rh: 0.0000 0.0000 0.5000
Rh: 0.0000 0.5000 0.8723
Rh: 0.5000 0.5000 0.5000

---

# 5
The following is a PBE calculation of a relaxed structure of LiTi2VIr, from Alexandria.

Summary:
volume	80.0	Å³/cell
N(E_F)	0.893	states/eV per atom
energy above the lowest structure with this stoichiometry	0.051	eV per atom
ΔH_f (0 K)	80.4	kJ per mole of atoms
M_tot	0.01	μB/f.u.

Unit cell a=4.3467 b=4.3467 c=4.2339 alpha=90.00 beta=90.00 gamma=90.00
Space group P4/mmm (No. 123)
Inequivalent atoms, fractional coordinates:
Li: 0.0000 0.0000 0.0000
Ti: 0.0000 0.5000 0.5000
V: 0.0000 0.0000 0.5000
Ir: 0.5000 0.5000 0.0000

---

# 6
The following is a PBE calculation of a relaxed structure of K4Rb2I, from Alexandria.

Summary:
volume	1118.4	Å³/cell
N(E_F)	0.723	states/eV per atom
raw formation energy	-311	meV per atom
M_tot	0.00	μB/f.u.

Unit cell a=6.8624 b=6.8624 c=23.7491 alpha=90.00 beta=90.00 gamma=90.00
Space group I4/mmm (No. 139)
Inequivalent atoms, fractional coordinates:
K: 0.0000 0.0000 0.1518
K: 0.0000 0.5000 0.0000
Rb: 0.0000 0.0000 0.3393
I: 0.0000 0.0000 0.0000

---

# 7
The following is a PBE calculation of a relaxed structure of ZrAl4Cd, from Alexandria.

Summary:
volume	443.4	Å³/cell
N(E_F)	1.255	states/eV per atom
ΔH_f (0 K)	-9.1	kJ per mole of atoms
M_tot	0.66	μB/f.u.

Unit cell a=7.6254 b=7.6254 c=7.6254 alpha=90.00 beta=90.00 gamma=90.00
Space group F-43m (No. 216)
Inequivalent atoms, fractional coordinates:
Zr: 0.0000 0.0000 0.0000
Al: 0.1250 0.1250 0.6250
Cd: 0.2500 0.2500 0.2500

---

# 8
The following is a PBE calculation of a relaxed structure of La2PmY7, from Alexandria.

Summary:
volume	685.8	Å³/cell
N(E_F)	1.927	states/eV per atom
energy above the lowest structure with this stoichiometry	0.141	eV per atom
ΔH_f (0 K)	15.9	kJ per mole of atoms
M_tot	0.00	μB/f.u.

Unit cell a=6.6359 b=29.2650 c=3.5313 alpha=90.00 beta=90.00 gamma=90.00
Space group Cmmm (No. 65)
Inequivalent atoms, fractional coordinates:
La: 0.0000 0.2052 0.0000
Pm: 0.0000 0.5000 0.5000
Y: 0.0000 0.0000 0.0000
Y: 0.0000 0.3141 0.5000
Y: 0.2453 0.4018 0.0000

---

# 9
The following is a PBE calculation of a relaxed structure of Cs2U3BiO12, from Alexandria.

Summary:
volume	1092.5	Å³/cell
N(E_F)	0.380	states/eV per atom
raw formation energy	-2615	meV per atom
M_tot	0.00	μB/f.u.

Unit cell a=8.0573 b=8.0573 c=19.4311 alpha=90.00 beta=90.00 gamma=120.00
Space group R-3m (No. 166, hexagonal axes)
Inequivalent atoms, fractional coordinates:
Cs: 0.0000 0.0000 0.1200
U: 0.0000 0.5000 0.0000
Bi: 0.0000 0.0000 0.5000
O: 0.0640 0.5320 0.1008
O: 0.0807 0.5404 0.3490

---

# 10
The following is a PBE calculation of a relaxed structure of TbPr14Dy, from Alexandria.

Summary:
volume	569.7	Å³/cell
N(E_F)	1.611	states/eV per atom
ΔH_f (0 K)	1.2	kJ per mole of atoms
M_tot	0.00	μB/f.u.

Unit cell a=7.3806 b=7.3806 c=10.4580 alpha=90.00 beta=90.00 gamma=90.00
Space group P4/mmm (No. 123)
Inequivalent atoms, fractional coordinates:
Tb: 0.0000 0.0000 0.0000
Pr: 0.0000 0.0000 0.5000
Pr: 0.0000 0.5000 0.0000
Pr: 0.0000 0.5000 0.5000
Pr: 0.2503 0.2503 0.2475
Pr: 0.5000 0.5000 0.5000
Dy: 0.5000 0.5000 0.0000

---

# 11
The following is a PBE calculation of a relaxed structure of LiHoZn2Ga2, from Alexandria.

Summary:
volume	107.4	Å³/cell
N(E_F)	0.640	states/eV per atom
ΔH_f (0 K)	-38.9	kJ per mole of atoms
M_tot	0.00	μB/f.u.

Unit cell a=4.3141 b=4.3141 c=6.6604 alpha=90.00 beta=90.00 gamma=120.00
Space group P-3m1 (No. 164)
Inequivalent atoms, fractional coordinates:
Li: 0.0000 0.0000 0.0000
Ho: 0.0000 0.0000 0.5000
Zn: 0.3333 0.6667 0.2031
Ga: 0.3333 0.6667 0.7744

---

# 12
The following is a PBE calculation of a relaxed structure of Ba2CrOs, from Alexandria.

Summary:
volume	423.0	Å³/cell
N(E_F)	0.729	states/eV per atom
energy above the lowest structure with this stoichiometry	0.000	eV per atom
ΔH_f (0 K)	36.4	kJ per mole of atoms
M_tot	1.98	μB/f.u.

Unit cell a=4.1840 b=4.1840 c=27.9043 alpha=90.00 beta=90.00 gamma=120.00
Space group R3m (No. 160, hexagonal axes)
Inequivalent atoms, fractional coordinates:
Ba: 0.0000 0.0000 0.0000
Ba: 0.0000 0.0000 0.1751
Cr: 0.0000 0.0000 0.4206
Os: 0.0000 0.0000 0.7545